[1]
# Nd2Zn2GaNi5 PBE-GGA optimized geometry
# SG = P4/mbm
# calculated volume = 319.16 Å³/cell
# formation enthalpy at 0 K = -2.2 eV per formula unit
# E = -92.38 eV per cell
data_Nd2Zn2GaNi5
_cell_length_a 3.483
_cell_length_b 9.573
_cell_length_c 9.573
_cell_angle_alpha 90.00
_cell_angle_beta 90.00
_cell_angle_gamma 90.00
_symmetry_space_group_name_H-M 'P 1'
_symmetry_Int_Tables_number 1
loop_
_symmetry_equiv_pos_as_xyz
'x,y,z'
loop_
_atom_site_label
_atom_site_type_symbol
_atom_site_fract_x
_atom_site_fract_y
_atom_site_fract_z
Nd1 Nd 0.000 0.679 0.179
Nd2 Nd 0.000 0.321 0.821
Nd3 Nd 0.000 0.179 0.321
Nd4 Nd 0.000 0.821 0.679
Zn1 Zn 0.000 0.119 0.619
Zn2 Zn 0.000 0.881 0.381
Zn3 Zn 0.000 0.619 0.881
Zn4 Zn 0.000 0.381 0.119
Ga1 Ga 0.000 0.000 0.000
Ga2 Ga 0.000 0.500 0.500
Ni1 Ni 0.500 0.198 0.054
Ni2 Ni 0.500 0.802 0.946
Ni3 Ni 0.500 0.054 0.802
Ni4 Ni 0.500 0.698 0.446
Ni5 Ni 0.500 0.946 0.198
Ni6 Ni 0.500 0.302 0.554
Ni7 Ni 0.500 0.554 0.698
Ni8 Ni 0.500 0.446 0.302
Ni9 Ni 0.500 0.500 0.000
Ni10 Ni 0.500 0.000 0.500



[2]
# K2IO PBE-GGA optimized geometry
# SG = I-42d
# calculated volume = 277.98 Å³/cell
# E = -25.51 eV per cell
data_K2IO
_cell_length_a 8.232
_cell_length_b 8.232
_cell_length_c 7.121
_cell_angle_alpha 54.69
_cell_angle_beta 54.69
_cell_angle_gamma 90.00
_symmetry_space_group_name_H-M 'P 1'
_symmetry_Int_Tables_number 1
loop_
_symmetry_equiv_pos_as_xyz
'x,y,z'
loop_
_atom_site_label
_atom_site_type_symbol
_atom_site_fract_x
_atom_site_fract_y
_atom_site_fract_z
I1 I 0.000 0.000 0.000
I2 I 0.750 0.250 0.500
K1 K 0.539 0.125 0.250
K2 K 0.211 0.625 0.250
K3 K 0.375 0.461 0.750
K4 K 0.875 0.789 0.750
O1 O 0.500 0.500 0.000
O2 O 0.250 0.750 0.500



[3]
# La2HgPdO5 PBE-GGA optimized geometry
# SG = P4/mbm
# calculated volume = 284.24 Å³/cell
# E = -114.73 eV per cell
data_La2HgPdO5
_cell_length_a 5.691
_cell_length_b 7.067
_cell_length_c 7.067
_cell_angle_alpha 90.00
_cell_angle_beta 90.00
_cell_angle_gamma 90.00
_symmetry_space_group_name_H-M 'P 1'
_symmetry_Int_Tables_number 1
loop_
_symmetry_equiv_pos_as_xyz
'x,y,z'
loop_
_atom_site_label
_atom_site_type_symbol
_atom_site_fract_x
_atom_site_fract_y
_atom_site_fract_z
La1 La 0.500 0.677 0.177
La2 La 0.500 0.177 0.323
La3 La 0.500 0.823 0.677
La4 La 0.500 0.323 0.823
Hg1 Hg 0.000 0.500 0.500
Hg2 Hg 0.000 0.000 0.000
Pd1 Pd 0.000 0.000 0.500
Pd2 Pd 0.000 0.500 0.000
O1 O 0.500 0.500 0.500
O2 O 0.500 0.000 0.000
O3 O 0.252 0.137 0.637
O4 O 0.252 0.863 0.363
O5 O 0.252 0.363 0.137
O6 O 0.252 0.637 0.863
O7 O 0.748 0.137 0.637
O8 O 0.748 0.637 0.863
O9 O 0.748 0.863 0.363
O10 O 0.748 0.363 0.137



[4]
# YTcGe2Ru PBE-GGA optimized geometry
# SG = I-4m2
# calculated volume = 91.34 Å³/cell
# formation enthalpy at 0 K = -2.6 eV per formula unit
# E = -37.91 eV per cell
data_YTcGe2Ru
_cell_length_a 4.264
_cell_length_b 4.264
_cell_length_c 5.859
_cell_angle_alpha 111.34
_cell_angle_beta 111.34
_cell_angle_gamma 90.00
_symmetry_space_group_name_H-M 'P 1'
_symmetry_Int_Tables_number 1
loop_
_symmetry_equiv_pos_as_xyz
'x,y,z'
loop_
_atom_site_label
_atom_site_type_symbol
_atom_site_fract_x
_atom_site_fract_y
_atom_site_fract_z
Y1 Y 0.000 0.000 0.000
Tc1 Tc 0.750 0.250 0.500
Ge1 Ge 0.628 0.628 0.255
Ge2 Ge 0.372 0.372 0.745
Ru1 Ru 0.250 0.750 0.500



[5]
# RbSnTeI PBE-GGA optimized geometry
# SG = R3m
# calculated volume = 167.25 Å³/cell
# E = -12.74 eV per cell
data_RbSnTeI
_cell_length_a 4.693
_cell_length_b 4.693
_cell_length_c 9.178
_cell_angle_alpha 90.01
_cell_angle_beta 104.81
_cell_angle_gamma 120.00
_symmetry_space_group_name_H-M 'P 1'
_symmetry_Int_Tables_number 1
loop_
_symmetry_equiv_pos_as_xyz
'x,y,z'
loop_
_atom_site_label
_atom_site_type_symbol
_atom_site_fract_x
_atom_site_fract_y
_atom_site_fract_z
Rb1 Rb 0.472 0.134 0.622
Sn1 Sn 0.117 0.957 0.089
Te1 Te 0.333 0.565 0.913
I1 I 0.955 0.375 0.345



[6]
# LiReSiSe2 PBE-GGA optimized geometry
# SG = P4/mmm
# calculated volume = 115.08 Å³/cell
# E = -22.73 eV per cell
data_LiReSiSe2
_cell_length_a 5.017
_cell_length_b 4.572
_cell_length_c 5.017
_cell_angle_alpha 90.00
_cell_angle_beta 90.00
_cell_angle_gamma 90.00
_symmetry_space_group_name_H-M 'P 1'
_symmetry_Int_Tables_number 1
loop_
_symmetry_equiv_pos_as_xyz
'x,y,z'
loop_
_atom_site_label
_atom_site_type_symbol
_atom_site_fract_x
_atom_site_fract_y
_atom_site_fract_z
Re1 Re 0.000 0.500 0.000
Si1 Si 0.000 0.000 0.000
Se1 Se 0.000 0.000 0.500
Se2 Se 0.500 0.000 0.000
Li1 Li 0.500 0.500 0.500



[7]
# NdAlSb2 PBE-GGA optimized geometry
# SG = R-3m
# calculated volume = 118.74 Å³/cell
# E = -16.51 eV per cell
data_NdAlSb2
_cell_length_a 3.694
_cell_length_b 3.694
_cell_length_c 10.272
_cell_angle_alpha 79.64
_cell_angle_beta 79.64
_cell_angle_gamma 60.00
_symmetry_space_group_name_H-M 'P 1'
_symmetry_Int_Tables_number 1
loop_
_symmetry_equiv_pos_as_xyz
'x,y,z'
loop_
_atom_site_label
_atom_site_type_symbol
_atom_site_fract_x
_atom_site_fract_y
_atom_site_fract_z
Sb1 Sb 0.106 0.106 0.683
Sb2 Sb 0.894 0.894 0.317
Nd1 Nd 0.000 0.000 0.000
Al1 Al 0.500 0.500 0.500



[8]
# SrHgC PBE-GGA optimized geometry
# SG = P1
# calculated volume = 157.46 Å³/cell
# formation enthalpy at 0 K = -0.3 eV per formula unit
# E = -22.98 eV per cell
data_SrHgC
_cell_length_a 9.781
_cell_length_b 4.460
_cell_length_c 4.435
_cell_angle_alpha 55.68
_cell_angle_beta 98.69
_cell_angle_gamma 98.67
_symmetry_space_group_name_H-M 'P 1'
_symmetry_Int_Tables_number 1
loop_
_symmetry_equiv_pos_as_xyz
'x,y,z'
loop_
_atom_site_label
_atom_site_type_symbol
_atom_site_fract_x
_atom_site_fract_y
_atom_site_fract_z
Sr1 Sr 0.164 0.692 0.922
Sr2 Sr 0.543 0.877 0.100
C1 C 0.315 0.385 0.620
C2 C 0.397 0.534 0.758
Hg1 Hg 0.935 0.967 0.190
Hg2 Hg 0.776 0.251 0.468



[9]
# BaCeN PBE-GGA optimized geometry
# SG = Amm2
# calculated volume = 170.54 Å³/cell
# E = -34.12 eV per cell
data_BaCeN
_cell_length_a 3.734
_cell_length_b 3.727
_cell_length_c 14.159
_cell_angle_alpha 90.00
_cell_angle_beta 90.00
_cell_angle_gamma 120.06
_symmetry_space_group_name_H-M 'P 1'
_symmetry_Int_Tables_number 1
loop_
_symmetry_equiv_pos_as_xyz
'x,y,z'
loop_
_atom_site_label
_atom_site_type_symbol
_atom_site_fract_x
_atom_site_fract_y
_atom_site_fract_z
N1 N 0.557 0.113 0.000
N2 N 0.332 0.664 0.500
Ba1 Ba 0.666 0.333 0.387
Ba2 Ba 0.666 0.333 0.613
Ce1 Ce 0.223 0.445 0.900
Ce2 Ce 0.223 0.445 0.100



[10]
# CeDy2Tl2 PBE-GGA optimized geometry
# SG = C2/c
# calculated volume = 294.32 Å³/cell
# formation enthalpy at 0 K = -1.0 eV per formula unit
# E = -41.66 eV per cell
data_CeDy2Tl2
_cell_length_a 5.291
_cell_length_b 6.799
_cell_length_c 10.108
_cell_angle_alpha 62.01
_cell_angle_beta 74.80
_cell_angle_gamma 67.10
_symmetry_space_group_name_H-M 'P 1'
_symmetry_Int_Tables_number 1
loop_
_symmetry_equiv_pos_as_xyz
'x,y,z'
loop_
_atom_site_label
_atom_site_type_symbol
_atom_site_fract_x
_atom_site_fract_y
_atom_site_fract_z
Ce1 Ce 0.747 0.750 0.250
Ce2 Ce 0.253 0.250 0.750
Dy1 Dy 0.440 0.274 0.355
Dy2 Dy 0.931 0.774 0.855
Dy3 Dy 0.069 0.226 0.145
Dy4 Dy 0.560 0.726 0.645
Tl1 Tl 0.363 0.721 0.044
Tl2 Tl 0.873 0.221 0.544
Tl3 Tl 0.637 0.279 0.956
Tl4 Tl 0.127 0.779 0.456



[11]
# HfCuGe2 PBE-GGA optimized geometry
# SG = P4/nmm
# calculated volume = 131.86 Å³/cell
# formation enthalpy at 0 K = -1.6 eV per formula unit
# E = -49.85 eV per cell
data_HfCuGe2
_cell_length_a 3.805
_cell_length_b 3.805
_cell_length_c 9.109
_cell_angle_alpha 90.00
_cell_angle_beta 90.00
_cell_angle_gamma 90.00
_symmetry_space_group_name_H-M 'P 1'
_symmetry_Int_Tables_number 1
loop_
_symmetry_equiv_pos_as_xyz
'x,y,z'
loop_
_atom_site_label
_atom_site_type_symbol
_atom_site_fract_x
_atom_site_fract_y
_atom_site_fract_z
Ge1 Ge 0.250 0.750 0.500
Ge2 Ge 0.750 0.250 0.500
Ge3 Ge 0.250 0.250 0.178
Ge4 Ge 0.750 0.750 0.822
Hf1 Hf 0.750 0.750 0.262
Hf2 Hf 0.250 0.250 0.738
Cu1 Cu 0.750 0.250 0.000
Cu2 Cu 0.250 0.750 0.000



[12]
# TlHgO2 PBE-GGA optimized geometry
# SG = R-3m
# calculated volume = 70.76 Å³/cell
# E = -14.19 eV per cell
data_TlHgO2
_cell_length_a 7.050
_cell_length_b 7.050
_cell_length_c 7.050
_cell_angle_alpha 28.55
_cell_angle_beta 28.55
_cell_angle_gamma 28.55
_symmetry_space_group_name_H-M 'P 1'
_symmetry_Int_Tables_number 1
loop_
_symmetry_equiv_pos_as_xyz
'x,y,z'
loop_
_atom_site_label
_atom_site_type_symbol
_atom_site_fract_x
_atom_site_fract_y
_atom_site_fract_z
Tl1 Tl 0.500 0.500 0.500
Hg1 Hg 0.000 0.000 0.000
O1 O 0.891 0.891 0.891
O2 O 0.109 0.109 0.109